A relaxed structure of CoMo2As. Source: Alexandria, functional PBE.

extended XYZ file:
```
4
Lattice="-2.3139 -0.9394 3.1159 2.3586 -0.5661 1.5808 1.2984 4.3869 2.2868" Properties=species:S:1:pos:R:3 pbc="T T T"
Mo 3.5065 3.7291 3.7283
As 2.2716 1.8166 2.2346
Co 1.1430 2.5039 4.1625
Mo -0.0927 0.5629 2.6596
```

Values from the calculation:
total magnetic moment	0.3	Bohr magnetons per cell
DFT formation energy	21	meV/atom